[1]
The following is a GGA-PBE calculation of an optimized crystal structure of TaNb3Mo, from Alexandria.

## Properties
Crystal system: monoclinic
Energy relative to the elements (eV per atom): -0.06
Magnetization (μB/f.u.): 0.00
ΔE to the lowest computed polymorph (meV per atom): 21.5

Cell lengths 2.8626, 4.5896, 7.3460 Å; angles 71.80, 75.26, 90.00 degrees
Last column: nearest neighbours and their distance in Å.
Positions (direct):
Ta1 0.6087 0.1048 0.1028  2 Mo 2.80, 4 Nb 2.82-2.90, 2 Ta 2.86
Mo1 0.8030 0.5076 0.2971  4 Nb 2.79-2.85, 2 Ta 2.80, 2 Mo 2.86
Nb1 0.3843 0.7058 0.9007  1 Mo 2.82, 5 Nb 2.82-2.91, 2 Ta 2.86
Nb2 0.9883 0.9099 0.4926  2 Mo 2.79, 1 Ta 2.82, 5 Nb 2.85-2.91
Nb3 0.2079 0.3083 0.6957  6 Nb 2.82-2.86, 1 Mo 2.85, 1 Ta 2.90



[2]
The following is a GGA-PBE calculation of an optimized crystal structure of Zn5CdRh4, from Alexandria.

## Properties
Crystal system: tetragonal
Energy relative to the elements (eV per atom): -0.31
Magnetization (μB/f.u.): 0.00

Cell lengths 3.1157, 3.1157, 15.0628 Å; angles 90.00, 90.00, 90.00 degrees
Last column: nearest neighbours and their distance in Å.
Positions (direct):
Rh1 0.0000 0.0000 0.4033  8 Zn 2.62-2.64, 2 Rh 2.91-2.94
Rh2 0.0000 0.0000 0.7916  8 Zn 2.56-2.67
Zn1 0.5000 0.5000 0.3089  8 Rh 2.62-2.67, 2 Zn 2.82-2.88
Zn2 0.5000 0.5000 0.6911  8 Rh 2.62-2.67, 2 Zn 2.82-2.88
Cd1 0.0000 0.0000 0.0000  8 Zn 2.87, 4 Cd 3.12, 2 Rh 3.14
Rh3 0.0000 0.0000 0.5967  8 Zn 2.62-2.64, 2 Rh 2.91-2.94
Zn3 0.5000 0.5000 0.5000  8 Rh 2.64, 2 Zn 2.88
Rh4 0.0000 0.0000 0.2084  8 Zn 2.56-2.67
Zn4 0.5000 0.5000 0.1217  4 Rh 2.56, 1 Zn 2.82, 4 Cd 2.87
Zn5 0.5000 0.5000 0.8783  4 Rh 2.56, 1 Zn 2.82, 4 Cd 2.87



[3]
The following is a GGA-PBE calculation of an optimized crystal structure of TmThRuAu, from Alexandria.

## Properties
Crystal system: cubic
Energy relative to the elements (eV per atom): -0.53
Magnetization (μB/f.u.): 0.00

Cell lengths 5.0360, 5.0360, 5.0360 Å; angles 60.00, 60.00, 60.00 degrees
Last column: nearest neighbours and their distance in Å.
Positions (direct):
Th1 0.5000 0.5000 0.5000  4 Au 3.08, 4 Ru 3.08
Ru1 0.2500 0.2500 0.2500  4 Th 3.08, 4 Tm 3.08
Au1 0.7500 0.7500 0.7500  4 Th 3.08, 4 Tm 3.08
Tm1 0.0000 0.0000 0.0000  4 Ru 3.08, 4 Au 3.08



[4]
The following is a GGA-PBE calculation of an optimized crystal structure of SrSi2Os, from Alexandria.

## Properties
Crystal system: tetragonal
Magnetization (μB/f.u.): 0.00
Raw formation energy (eV per atom): -0.035

Cell lengths 3.2105, 3.2105, 7.1720 Å; angles 90.00, 90.00, 90.00 degrees
Last column: nearest neighbours and their distance in Å.
Positions (direct):
Si1 0.0000 0.0000 0.9775  4 Os 2.47, 4 Si 2.70
Os1 0.5000 0.5000 0.8410  5 Si 2.45-2.47
Sr1 0.0000 0.0000 0.4991  4 Sr 3.21, 5 Si 3.21-3.43, 4 Os 3.34
Si2 0.5000 0.5000 0.1824  1 Os 2.45, 4 Si 2.70